1 | RbTe2Pt2: optimized geometry, GGA-PBE.

abc: 4.655 4.655 12.993
angles: 90.00 90.00 90.00
Element x y z (fractional)
1 Rb 0.000 0.000 0.000
2 Rb 0.500 0.500 0.500
3 Te 0.000 0.000 0.354
4 Te 0.000 0.000 0.646
5 Te 0.500 0.500 0.146
6 Te 0.500 0.500 0.854
7 Pt 0.000 0.500 0.250
8 Pt 0.000 0.500 0.750
9 Pt 0.500 0.000 0.250
10 Pt 0.500 0.000 0.750

Results
For the magnetic moment, the calculation gives 0.00 μB/cell. The value obtained for the mass density is 8.6 g cm⁻³. The space group is I4/mmm.

2 | RbTe2Pt2: optimized geometry, GGA-PBE.

abc: 5.192 5.192 11.690
angles: 90.00 90.00 90.00
Element x y z (fractional)
1 Rb 0.000 0.000 0.000
2 Rb 0.500 0.500 0.500
3 Te 0.000 0.500 0.250
4 Te 0.000 0.500 0.750
5 Te 0.500 0.000 0.250
6 Te 0.500 0.000 0.750
7 Pt 0.000 0.000 0.312
8 Pt 0.000 0.000 0.688
9 Pt 0.500 0.500 0.188
10 Pt 0.500 0.500 0.812

Results
For the magnetic moment, the calculation gives 0.00 μB/cell. The value obtained for the mass density is 7.7 g cm⁻³. The space group is I4/mmm.

Of them, the most stable is 2 and the least stable is 1.

1 | RbTi2Pt: optimized geometry, GGA-PBE.

abc: 5.550 5.550 16.930
angles: 90.00 90.00 90.00
Element x y z (fractional)
1 Rb 0.000 0.250 0.375
2 Rb 0.000 0.750 0.625
3 Rb 0.500 0.250 0.125
4 Rb 0.500 0.750 0.875
5 Ti 0.000 0.000 0.000
6 Ti 0.000 0.500 0.000
7 Ti 0.250 0.250 0.750
8 Ti 0.250 0.750 0.250
9 Ti 0.500 0.000 0.500
10 Ti 0.500 0.500 0.500
11 Ti 0.750 0.250 0.750
12 Ti 0.750 0.750 0.250
13 Pt 0.000 0.250 0.875
14 Pt 0.000 0.750 0.125
15 Pt 0.500 0.250 0.625
16 Pt 0.500 0.750 0.375

Results
For the magnetic moment, the calculation gives 10.30 μB/cell. The value obtained for the mass density is 4.8 g cm⁻³. The space group is I4_1/amd.

2 | RbTi2Pt: optimized geometry, GGA-PBE.

abc: 6.736 6.736 6.736
angles: 90.00 90.00 90.00
Element x y z (fractional)
1 Rb 0.000 0.000 0.000
2 Rb 0.000 0.500 0.500
3 Rb 0.500 0.000 0.500
4 Rb 0.500 0.500 0.000
5 Ti 0.250 0.250 0.250
6 Ti 0.250 0.250 0.750
7 Ti 0.250 0.750 0.250
8 Ti 0.250 0.750 0.750
9 Ti 0.750 0.250 0.250
10 Ti 0.750 0.250 0.750
11 Ti 0.750 0.750 0.250
12 Ti 0.750 0.750 0.750
13 Pt 0.000 0.000 0.500
14 Pt 0.000 0.500 0.000
15 Pt 0.500 0.000 0.000
16 Pt 0.500 0.500 0.500

Results
For the magnetic moment, the calculation gives 3.94 μB/cell. The value obtained for the mass density is 8.2 g cm⁻³. The space group is Fm-3m.

Of them, the most stable is 2 and the least stable is 1.

1 | RbTi3Pt: optimized geometry, GGA-PBE.

abc: 4.606 4.606 4.606
angles: 90.00 90.00 90.00
Element x y z (fractional)
1 Rb 0.000 0.000 0.000
2 Ti 0.000 0.000 0.500
3 Ti 0.000 0.500 0.000
4 Ti 0.500 0.000 0.000
5 Pt 0.500 0.500 0.500

Results
For the magnetic moment, the calculation gives 1.93 μB/cell. The value obtained for the mass density is 7.2 g cm⁻³. The space group is Pm-3m.

2 | RbTi3Pt: optimized geometry, GGA-PBE.

abc: 5.013 5.013 5.013
angles: 90.00 90.00 90.00
Element x y z (fractional)
1 Rb 0.000 0.000 0.000
2 Ti 0.000 0.500 0.500
3 Ti 0.500 0.000 0.500
4 Ti 0.500 0.500 0.000
5 Pt 0.500 0.500 0.500

Results
For the magnetic moment, the calculation gives 0.00 μB/cell. The value obtained for the mass density is 5.6 g cm⁻³. The space group is Pm-3m.

Of them, the most stable is 2 and the least stable is 1.

1 | RbTl4Pt: optimized geometry, GGA-PBE.

abc: 9.824 4.083 9.302
angles: 90.00 90.00 90.00
Element x y z (fractional)
1 Rb 0.250 0.000 0.080
2 Rb 0.750 0.000 0.920
3 Tl 0.000 0.000 0.500
4 Tl 0.070 0.500 0.787
5 Tl 0.250 0.500 0.418
6 Tl 0.430 0.500 0.787
7 Tl 0.500 0.000 0.500
8 Tl 0.570 0.500 0.213
9 Tl 0.750 0.500 0.582
10 Tl 0.930 0.500 0.213
11 Pt 0.250 0.000 0.661
12 Pt 0.750 0.000 0.339

Results
For the magnetic moment, the calculation gives 0.00 μB/cell. The value obtained for the mass density is 9.8 g cm⁻³. The space group is Pmma.

2 | RbTl4Pt: optimized geometry, GGA-PBE.

abc: 9.677 9.677 8.027
angles: 90.00 90.00 151.35
Element x y z (fractional)
1 Rb 0.123 0.877 0.750
2 Rb 0.877 0.123 0.250
3 Tl 0.073 0.927 0.250
4 Tl 0.312 0.688 0.547
5 Tl 0.312 0.688 0.953
6 Tl 0.500 0.500 0.000
7 Tl 0.500 0.500 0.500
8 Tl 0.688 0.312 0.047
9 Tl 0.688 0.312 0.453
10 Tl 0.927 0.073 0.750
11 Pt 0.224 0.776 0.250
12 Pt 0.776 0.224 0.750

Results
For the magnetic moment, the calculation gives 0.00 μB/cell. The value obtained for the mass density is 10.1 g cm⁻³. The space group is Cmcm.

Of them, the most stable is 1 and the least stable is 2.

1 | RbTlPt3: optimized geometry, GGA-PBE.

abc: 5.207 5.207 5.207
angles: 90.00 90.00 90.00
Element x y z (fractional)
1 Rb 0.000 0.000 0.000
2 Tl 0.500 0.500 0.500
3 Pt 0.000 0.500 0.500
4 Pt 0.500 0.000 0.500
5 Pt 0.500 0.500 0.000

Results
For the magnetic moment, the calculation gives 0.00 μB/cell. The value obtained for the mass density is 10.3 g cm⁻³. The space group is Pm-3m.

2 | RbTlPt3: optimized geometry, GGA-PBE.

abc: 5.209 5.209 5.209
angles: 90.00 90.00 90.00
Element x y z (fractional)
1 Rb 0.000 0.000 0.000
2 Tl 0.500 0.500 0.500
3 Pt 0.000 0.000 0.500
4 Pt 0.000 0.500 0.000
5 Pt 0.500 0.000 0.000

Results
For the magnetic moment, the calculation gives 0.00 μB/cell. The value obtained for the mass density is 10.3 g cm⁻³. The space group is Pm-3m.

3 | RbTlPt3: optimized geometry, GGA-PBE.

abc: 9.106 9.106 9.106
angles: 35.76 35.76 35.76
Element x y z (fractional)
1 Rb 0.159 0.159 0.159
2 Rb 0.841 0.841 0.841
3 Tl 0.407 0.407 0.407
4 Tl 0.593 0.593 0.593
5 Pt 0.128 0.128 0.614
6 Pt 0.128 0.614 0.128
7 Pt 0.386 0.872 0.872
8 Pt 0.614 0.128 0.128
9 Pt 0.872 0.386 0.872
10 Pt 0.872 0.872 0.386

Results
For the magnetic moment, the calculation gives 0.00 μB/cell. The value obtained for the mass density is 12.6 g cm⁻³. The space group is R-3m.

Of them, the most stable is 3 and the least stable is 2.

1 | Rb3TlPt: optimized geometry, GGA-PBE.

abc: 6.457 6.457 6.457
angles: 90.00 90.00 90.00
Element x y z (fractional)
1 Rb 0.000 0.000 0.500
2 Rb 0.000 0.500 0.000
3 Rb 0.500 0.000 0.000
4 Tl 0.500 0.500 0.500
5 Pt 0.000 0.000 0.000

Results
For the magnetic moment, the calculation gives 1.91 μB/cell. The value obtained for the mass density is 4.0 g cm⁻³. The space group is Pm-3m.

2 | Rb3TlPt: optimized geometry, GGA-PBE.

abc: 14.258 14.258 5.321
angles: 90.00 90.00 90.00
Element x y z (fractional)
1 Rb 0.097 0.097 0.000
2 Rb 0.132 0.641 0.000
3 Rb 0.141 0.368 0.500
4 Rb 0.359 0.868 0.000
5 Rb 0.368 0.141 0.500
6 Rb 0.403 0.597 0.500
7 Rb 0.597 0.403 0.500
8 Rb 0.632 0.859 0.500
9 Rb 0.641 0.132 0.000
10 Rb 0.859 0.632 0.500
11 Rb 0.868 0.359 0.000
12 Rb 0.903 0.903 0.000
13 Tl 0.134 0.866 0.500
14 Tl 0.366 0.366 0.000
15 Tl 0.634 0.634 0.000
16 Tl 0.866 0.134 0.500
17 Pt 0.133 0.867 0.000
18 Pt 0.367 0.367 0.500
19 Pt 0.633 0.633 0.500
20 Pt 0.867 0.133 0.000

Results
For the magnetic moment, the calculation gives 0.00 μB/cell. The value obtained for the mass density is 4.0 g cm⁻³. The space group is P4_2/mnm.

Of them, the most stable is 2 and the least stable is 1.

1 | Rb3Tl4Pt2: optimized geometry, GGA-PBE.

abc: 9.976 9.976 7.772
angles: 104.63 104.63 67.16
Element x y z (fractional)
1 Rb 0.054 0.946 0.750
2 Rb 0.266 0.486 0.860
3 Rb 0.486 0.266 0.360
4 Rb 0.514 0.734 0.640
5 Rb 0.734 0.514 0.140
6 Rb 0.946 0.054 0.250
7 Tl 0.094 0.620 0.334
8 Tl 0.119 0.268 0.062
9 Tl 0.268 0.119 0.562
10 Tl 0.380 0.906 0.166
11 Tl 0.620 0.094 0.834
12 Tl 0.732 0.881 0.438
13 Tl 0.881 0.732 0.938
14 Tl 0.906 0.380 0.666
15 Pt 0.080 0.363 0.416
16 Pt 0.363 0.080 0.916
17 Pt 0.637 0.920 0.084
18 Pt 0.920 0.637 0.584

Results
For the magnetic moment, the calculation gives 0.00 μB/cell. The value obtained for the mass density is 7.2 g cm⁻³. The space group is C2/c.

2 | Rb3Tl4Pt2: optimized geometry, GGA-PBE.

abc: 7.025 7.025 9.713
angles: 103.13 103.13 43.80
Element x y z (fractional)
1 Rb 0.000 0.000 0.000
2 Rb 0.402 0.402 0.316
3 Rb 0.598 0.598 0.684
4 Tl 0.146 0.146 0.414
5 Tl 0.277 0.277 0.918
6 Tl 0.723 0.723 0.082
7 Tl 0.854 0.854 0.586
8 Pt 0.319 0.319 0.660
9 Pt 0.681 0.681 0.340

Results
For the magnetic moment, the calculation gives 0.00 μB/cell. The value obtained for the mass density is 7.6 g cm⁻³. The space group is C2/m.

Of them, the most stable is 1 and the least stable is 2.

1 | RbTl4Pt2: optimized geometry, GGA-PBE.

abc: 4.999 16.138 4.878
angles: 90.00 90.00 90.00
Element x y z (fractional)
1 Rb 0.000 0.000 0.000
2 Rb 0.500 0.500 0.000
3 Tl 0.000 0.169 0.500
4 Tl 0.000 0.326 0.000
5 Tl 0.000 0.674 0.000
6 Tl 0.000 0.831 0.500
7 Tl 0.500 0.174 0.000
8 Tl 0.500 0.331 0.500
9 Tl 0.500 0.669 0.500
10 Tl 0.500 0.826 0.000
11 Pt 0.000 0.419 0.500
12 Pt 0.000 0.581 0.500
13 Pt 0.500 0.081 0.500
14 Pt 0.500 0.919 0.500

Results
For the magnetic moment, the calculation gives 0.00 μB/cell. The value obtained for the mass density is 10.9 g cm⁻³. The space group is Cmmm.

2 | RbTl4Pt2: optimized geometry, GGA-PBE.

abc: 19.911 4.540 8.519
angles: 90.00 90.00 90.00
Element x y z (fractional)
1 Rb 0.131 0.250 0.031
2 Rb 0.369 0.750 0.531
3 Rb 0.631 0.250 0.469
4 Rb 0.869 0.750 0.969
5 Tl 0.029 0.750 0.792
6 Tl 0.081 0.250 0.513
7 Tl 0.189 0.750 0.330
8 Tl 0.195 0.750 0.736
9 Tl 0.305 0.250 0.236
10 Tl 0.311 0.250 0.830
11 Tl 0.419 0.750 0.013
12 Tl 0.471 0.250 0.292
13 Tl 0.529 0.750 0.708
14 Tl 0.581 0.250 0.987
15 Tl 0.689 0.750 0.170
16 Tl 0.695 0.750 0.764
17 Tl 0.805 0.250 0.264
18 Tl 0.811 0.250 0.670
19 Tl 0.919 0.750 0.487
20 Tl 0.971 0.250 0.208
21 Pt 0.045 0.750 0.319
22 Pt 0.225 0.250 0.536
23 Pt 0.275 0.750 0.036
24 Pt 0.455 0.250 0.819
25 Pt 0.545 0.750 0.181
26 Pt 0.725 0.250 0.964
27 Pt 0.775 0.750 0.464
28 Pt 0.955 0.250 0.681

Results
For the magnetic moment, the calculation gives 0.00 μB/cell. The value obtained for the mass density is 11.2 g cm⁻³. The space group is Pnma.

Of them, the most stable is 2 and the least stable is 1.